## Tb2Sm5Mg (PBE)

Data for crystalline Tb2Sm5Mg at its relaxed geometry.

Lattice parameters (Å, degrees): 3.5503 11.1105 8.7608 129.35 78.54 90.00
Atoms (fractional coordinates):
Mg  0.0000  0.0000  0.0000
Tb  0.2626  0.7400  0.4799
Sm  0.6348  0.6403  0.7358
Sm  0.3652  0.9045  0.2642
Tb  0.7374  0.2600  0.5201
Sm  0.0000  0.5000  0.0000
Sm  0.6348  0.0955  0.7358
Sm  0.3652  0.3597  0.2642

Summary:
- energy above the lowest structure with this stoichiometry (meV/atom) = 39
- ρ (Mg/m³) = 7.034
- energy (eV per atom) = -4.26
- formation enthalpy at 0 K (eV per atom) = 0.048